No. 1
The following is a DFT calculation (GGA-PBE) of a relaxed structure of CrGaCo2H.

abc: 3.7015 3.7015 3.6334
angles: 90.00 90.00 90.00
Space group P4/mmm (No. 123)
Symmetry-distinct sites (fractional):
Cr 0.0000 0.0000 0.0000 (multiplicity 1)
Ga 0.5000 0.5000 0.0000 (multiplicity 1)
Co 0.0000 0.5000 0.5000 (multiplicity 2)
H 0.0000 0.0000 0.5000 (multiplicity 1)

Output
D(E_F): 4.680 states/eV/f.u.
Electronic total energy: -6.115 eV per atom

***

No. 2
The following is a DFT calculation (GGA-PBE) of a relaxed structure of Mn2Cr2GaCo5.

abc: 7.9306 7.9306 3.8091
angles: 90.00 90.00 90.00
Space group P4/mbm (No. 127)
Symmetry-distinct sites (fractional):
Mn 0.1648 0.3352 0.0000 (multiplicity 4)
Cr 0.1310 0.6310 0.0000 (multiplicity 4)
Ga 0.0000 0.0000 0.0000 (multiplicity 2)
Co 0.0000 0.5000 0.5000 (multiplicity 2)
Co 0.0747 0.8023 0.5000 (multiplicity 8)

Output
Energy relative to the elements: 0.1372 eV/atom
D(E_F): 8.846 states/eV/f.u.
Electronic total energy: -7.477 eV per atom